TlCdAs2 | GGA-PBE | relaxed

Unit cell a=3.157 b=3.157 c=9.540 alpha=90.00 beta=90.00 gamma=90.00
Positions (direct):
Tl 0.500 0.500 0.750
As 0.000 0.000 0.035
As 0.000 0.000 0.465
Cd 0.500 0.500 0.250

Values from the calculation:
E_tot in eV per cell: -11.7
Magnetization in μB/f.u.: 0.00
Symmetry: P4/mmm